[1]
This record from Alexandria describes a geometry-optimized Li2Ag structure. The functional is PBEsol.

Calculated values
The value obtained for the total DFT energy (no corrections) is -2.51 eV/atom. The total magnetization comes out at 0.0 μB per formula unit. As for the space group: P-3m1, No. 164. The value obtained for the energy of formation is -0.0904 eV per atom. The crystal system is trigonal.

POSCAR file:
```
Li2Ag
1.0
-1.943 -2.144 0.309
2.445 -0.013 1.579
-3.147 3.560 4.904
Ag Li
1 2
Direct
0.000 0.000 0.000 Ag
0.667 0.333 0.314 Li
0.333 0.667 0.686 Li
```

***

[2]
This record from Alexandria describes a geometry-optimized Li2Ag structure. The functional is PBEsol.

Calculated values
The value obtained for the total DFT energy (no corrections) is -2.57 eV/atom. The total magnetization comes out at 0.0 μB per formula unit. As for the space group: P6/mmm, No. 191. The value obtained for the energy of formation is -0.1508 eV per atom. The crystal system is hexagonal.

POSCAR file:
```
Li2Ag
1.0
-2.120 1.062 -1.427
-2.720 -2.930 1.860
0.670 3.914 1.917
Ag Li
1 2
Direct
0.500 0.000 0.000 Ag
0.000 0.333 0.667 Li
0.000 0.667 0.333 Li
```

***

[3]
This record from Alexandria describes a geometry-optimized Li2Ag structure. The functional is PBEsol.

Calculated values
The value obtained for the total DFT energy (no corrections) is -2.53 eV/atom. The total magnetization comes out at 0.0 μB per formula unit. As for the space group: P6_3/mmc, No. 194. The value obtained for the energy of formation is -0.1176 eV per atom. The crystal system is hexagonal.

POSCAR file:
```
Li2Ag
1.0
-1.128 1.461 4.127
2.981 -3.366 -0.470
4.050 3.610 -0.171
Ag Li
2 4
Direct
0.667 0.333 0.750 Ag
0.333 0.667 0.250 Ag
0.000 0.000 0.000 Li
0.000 0.000 0.500 Li
0.667 0.333 0.250 Li
0.333 0.667 0.750 Li
```